The following is a PBE calculation of a relaxed structure of PmTaOs, from Alexandria.

a b c (Å): 4.488 4.488 6.833
angles (deg): 90.00 90.00 90.00
Sites, in units of the cell vectors:
Os 0.500 0.000 0.695
Os 0.000 0.500 0.305
Pm 0.000 0.500 0.858
Pm 0.500 0.000 0.142
Ta 0.500 0.500 0.500
Ta 0.000 0.000 0.500

Results
DFT formation energy in eV/atom: -0.198
Symmetry: P4/nmm

The following is a PBE calculation of a relaxed structure of PmTa2Os2, from Alexandria.

a b c (Å): 4.394 4.394 6.239
angles (deg): 110.62 110.62 90.00
Sites, in units of the cell vectors:
Os 0.619 0.619 0.238
Os 0.381 0.381 0.762
Ta 0.250 0.750 0.500
Ta 0.750 0.250 0.500
Pm 0.000 0.000 0.000

Results
DFT formation energy in eV/atom: -0.303
Symmetry: I4/mmm

The following is a PBE calculation of a relaxed structure of PmTaOs4, from Alexandria.

a b c (Å): 5.287 5.287 5.287
angles (deg): 60.00 60.00 60.00
Sites, in units of the cell vectors:
Os 0.625 0.625 0.625
Os 0.625 0.625 0.125
Os 0.625 0.125 0.625
Os 0.125 0.625 0.625
Pm 0.000 0.000 0.000
Ta 0.250 0.250 0.250

Results
DFT formation energy in eV/atom: 0.046
Symmetry: F-43m

The calculated volume results, record by record, are as follows: 137.61, 104.44, 104.53 Å³/cell.
The raw total energy results, record by record, are as follows: -9.4762, -10.4856, -10.2079 eV per atom.